{"formula": "CsLi2Sn2", "functional": "PBE", "state": "optimized geometry", "formation_enthalpy_0k_ev_per_atom": -0.17, "lattice_angstrom": [[9.186, 0.000, 0.000], [0.000, 9.186, 0.000], [0.000, 0.000, 3.375]], "species": ["Sn", "Cs", "Cs", "Sn", "Sn", "Li", "Li", "Li", "Li", "Sn"], "fractional_positions": [[0.119, 0.619, 0.500], [0.500, 0.500, 0.000], [0.000, 0.000, 0.000], [0.381, 0.119, 0.500], [0.619, 0.881, 0.500], [0.153, 0.347, 0.000], [0.847, 0.653, 0.000], [0.347, 0.847, 0.000], [0.653, 0.153, 0.000], [0.881, 0.381, 0.500]]}



{"formula": "CsLiSn2", "functional": "PBE", "state": "optimized geometry", "formation_enthalpy_0k_ev_per_atom": 0.19, "lattice_angstrom": [[-4.232, -3.437, -1.683], [-4.976, 0.024, 2.792], [-4.648, 2.198, -2.473]], "species": ["Cs", "Sn", "Sn", "Li"], "fractional_positions": [[0.500, 0.500, 0.500], [0.750, 0.750, 0.750], [0.250, 0.250, 0.250], [0.000, 0.000, 0.000]]}



{"formula": "CsLi6Sn12", "functional": "PBE", "state": "optimized geometry", "formation_enthalpy_0k_ev_per_atom": -0.15, "lattice_angstrom": [[8.175, -0.019, -0.027], [-2.045, 7.915, -0.027], [-2.045, -2.635, 7.464]], "species": ["Sn", "Sn", "Sn", "Li", "Sn", "Li", "Li", "Li", "Sn", "Li", "Sn", "Sn", "Sn", "Li", "Sn", "Cs", "Sn", "Sn", "Sn"], "fractional_positions": [[0.885, 0.115, 0.500], [0.500, 0.115, 0.885], [0.582, 0.830, 0.582], [0.271, 0.716, 0.271], [0.418, 0.170, 0.418], [0.284, 0.729, 0.729], [0.716, 0.271, 0.271], [0.729, 0.729, 0.284], [0.885, 0.500, 0.115], [0.271, 0.271, 0.716], [0.830, 0.582, 0.582], [0.115, 0.885, 0.500], [0.418, 0.418, 0.170], [0.729, 0.284, 0.729], [0.115, 0.500, 0.885], [0.000, 0.000, 0.000], [0.582, 0.582, 0.830], [0.500, 0.885, 0.115], [0.170, 0.418, 0.418]]}



Computed DOS(E_F) (states/eV per atom) in order:
0.446 0.138 0.490